Here is crystalline Rb2NaCa2 at its relaxed geometry from Alexandria via LeMat-Bulk. Energies are from GGA-PBE.

Results
Raw total energy: -1.1983 eV/atom
Energy of formation: 0.25 eV/atom
DOS(E_F): 1.065 states/eV/atom

Geometry as extended XYZ:
```
5
Lattice="-3.4130 3.4406 1.5896 -2.9091 -3.7493 1.8690 2.6661 0.6708 12.4546" Properties=species:S:1:pos:R:3 pbc="T T T"
Na 0.0000 0.0000 0.0000
Ca -1.9540 1.9786 7.8867
Ca -1.7021 -1.6164 8.0264
Rb -2.0033 0.0096 3.8603
Rb -1.6528 0.3525 12.0529
```